[1]
# Sr2ScOs, relaxed, DFT PBE
# Energy above the lowest structure with this stoichiometry = 0 meV/atom
data_Sr2ScOs
_symmetry_space_group_name_H-M 'P 1 m 1'
_symmetry_Int_Tables_number 6
_symmetry_space_group_name_Hall 'P -2y'
_cell_length_a 3.578
_cell_length_b 3.579
_cell_length_c 9.461
_cell_angle_alpha 90.00
_cell_angle_beta 90.12
_cell_angle_gamma 90.00
loop_
_atom_site_label
_atom_site_fract_x
_atom_site_fract_y
_atom_site_fract_z
_atom_site_occupancy
Sr1 0.000 0.000 0.000 1
Sr2 0.498 0.500 0.386 1
Sc1 0.000 0.000 0.665 1
Os1 0.501 0.500 0.777 1

[2]
# Sr2ScOs, relaxed, DFT PBE
# Energy above the lowest structure with this stoichiometry = 668 meV/atom
data_Sr2ScOs
_symmetry_space_group_name_H-M 'C 1 2/m 1'
_symmetry_Int_Tables_number 12
_symmetry_space_group_name_Hall '-C 2y'
_cell_length_a 6.090
_cell_length_b 10.301
_cell_length_c 3.393
_cell_angle_alpha 90.00
_cell_angle_beta 101.88
_cell_angle_gamma 90.00
loop_
_atom_site_label
_atom_site_fract_x
_atom_site_fract_y
_atom_site_fract_z
_atom_site_occupancy
Sr1 0.250 0.250 0.000 1
Sc1 0.000 0.000 0.500 1
Os1 0.000 0.500 0.500 1

[3]
# Sr2ScOs, relaxed, DFT PBE
# Energy above the lowest structure with this stoichiometry = 40 meV/atom
data_Sr2ScOs
_symmetry_space_group_name_H-M 'I m m m'
_symmetry_Int_Tables_number 71
_symmetry_space_group_name_Hall '-I 2 2'
_cell_length_a 3.419
_cell_length_b 4.274
_cell_length_c 17.707
_cell_angle_alpha 90.00
_cell_angle_beta 90.00
_cell_angle_gamma 90.00
loop_
_atom_site_label
_atom_site_fract_x
_atom_site_fract_y
_atom_site_fract_z
_atom_site_occupancy
Sr1 0.000 0.000 0.151 1
Sc1 0.000 0.500 0.000 1
Os1 0.000 0.500 0.500 1

[4]
# SrSc2TiOs, relaxed, DFT PBE
# Energy above the lowest structure with this stoichiometry = 0 meV/atom
data_SrSc2TiOs
_symmetry_space_group_name_H-M 'P 4/m m m'
_symmetry_Int_Tables_number 123
_symmetry_space_group_name_Hall '-P 4 2'
_cell_length_a 4.796
_cell_length_b 4.796
_cell_length_c 5.339
_cell_angle_alpha 90.00
_cell_angle_beta 90.00
_cell_angle_gamma 90.00
loop_
_atom_site_label
_atom_site_fract_x
_atom_site_fract_y
_atom_site_fract_z
_atom_site_occupancy
Sr1 0.000 0.000 0.000 1
Sc1 0.000 0.500 0.500 1
Ti1 0.000 0.000 0.500 1
Os1 0.500 0.500 0.000 1

no.,DFT formation energy (eV per formula unit)
1,0.6
2,3.3
3,0.8
4,7.4